Entry 1:
# ReNiPb

ReNiPb after structural relaxation (PBE, the Alexandria database).

Properties
The calculated formation energy comes out at 746 meV per atom. The energy above the most stable polymorph in this dataset comes out at 0.045 eV/atom. Its total magnetic moment is 0.000 μB/f.u.

abc: 2.9948 2.9948 6.7222
angles: 90.00 90.00 120.00
With the nearest neighbours (Å) after each atom.
Space group P3m1 (No. 156)
One atom of each set of equivalent atoms:
Re  0.0000  0.0000  0.0000 x1  3 Ni 2.52
Ni  0.6667  0.3333  0.2727 x1  3 Re 2.52
Pb  0.3333  0.6667  0.6232 x1  3 Ni 2.92, 6 Pb 2.99, 3 Re 3.07

---

Entry 2:
# DyP3Pd5

DyP3Pd5 after structural relaxation (PBE, the Alexandria database).

Properties
The calculated formation energy comes out at -629 meV per atom. Its total magnetic moment is 0.000 μB/f.u.

abc: 3.9009 13.2908 11.7701
angles: 90.00 90.00 90.00
With the nearest neighbours (Å) after each atom.
Space group Cmcm (No. 63)
One atom of each set of equivalent atoms:
Dy  0.0000  0.1070  0.2500 x4  4 P 2.85
P  0.0000  0.1430  0.7500 x4  6 Pd 2.32-2.46
P  0.0000  0.4096  0.5750 x8  5 Pd 2.29-2.53
Pd  0.0000  0.0000  0.0000 x4  4 P 2.46
Pd  0.0000  0.2376  0.5839 x8  2 P 2.29-2.32
Pd  0.0000  0.4073  0.1353 x8  4 P 2.46-2.53, 1 Pd 2.70